Ba8NaPt2 (PBE, relaxed); total DFT energy (no corrections) = -2.922 eV/atom; N(E_F) = 0.986 states/eV per atom; formation enthalpy at 0 K = -0.306 eV per atom; size of the total moment = 0.00 μB per cell
1.0
9.1920 -4.0425 0.0000
9.1920 4.0425 0.0000
-1.2370 0.0000 7.5474
Ba Na Pt
8 1 2
Direct
0.0766 0.0766 0.3239 Ba
0.1097 0.6053 0.1141 Ba
0.2964 0.2964 0.5893 Ba
0.3947 0.8903 0.8859 Ba
0.6053 0.1097 0.1141 Ba
0.7036 0.7036 0.4107 Ba
0.8903 0.3947 0.8859 Ba
0.9234 0.9234 0.6761 Ba
0.5000 0.5000 0.5000 Na
0.2264 0.2264 0.1814 Pt
0.7736 0.7736 0.8186 Pt


Li3ZrH6 (PBE, relaxed); total DFT energy (no corrections) = -3.751 eV/atom; N(E_F) = 0.255 states/eV per atom; size of the total moment = 0.00 μB per cell
1.0
4.9774 0.0000 0.0000
0.0000 10.4327 0.0000
0.0000 0.0000 3.3721
Li Zr H
6 2 12
Direct
0.0000 0.0000 0.0000 Li
0.0726 0.2484 0.5000 Li
0.4274 0.7484 0.0000 Li
0.5000 0.5000 0.5000 Li
0.5726 0.2516 0.0000 Li
0.9274 0.7516 0.5000 Li
0.0000 0.5000 0.0000 Zr
0.5000 0.0000 0.5000 Zr
0.0567 0.6975 0.0000 H
0.1285 0.9074 0.5000 H
0.1736 0.5692 0.5000 H
0.3264 0.0692 0.0000 H
0.3715 0.4074 0.0000 H
0.4433 0.1975 0.5000 H
0.5567 0.8025 0.5000 H
0.6285 0.5926 0.0000 H
0.6736 0.9308 0.0000 H
0.8264 0.4308 0.5000 H
0.8715 0.0926 0.5000 H
0.9433 0.3025 0.0000 H


Cs2LiRhO4 (PBE, relaxed); total DFT energy (no corrections) = -4.976 eV/atom; N(E_F) = 0.036 states/eV per atom; uncorrected formation energy = -1126 meV/atom; size of the total moment = 0.00 μB per cell
1.0
0.0000 6.3360 10.7528
2.5685 0.0000 10.7528
2.5685 6.3360 0.0000
Cs Li Rh O
4 2 2 8
Direct
0.0481 0.0481 0.7019 Cs
0.2981 0.2981 0.9519 Cs
0.7019 0.7019 0.0481 Cs
0.9519 0.9519 0.2981 Cs
0.1250 0.1250 0.1250 Li
0.8750 0.8750 0.8750 Li
0.3750 0.3750 0.3750 Rh
0.6250 0.6250 0.6250 Rh
0.0106 0.6516 0.5706 O
0.2672 0.5706 0.6516 O
0.3484 0.9894 0.7328 O
0.4294 0.7328 0.9894 O
0.5706 0.2672 0.0106 O
0.6516 0.0106 0.2672 O
0.7328 0.4294 0.3484 O
0.9894 0.3484 0.4294 O


LiPmTh (PBE, relaxed); total DFT energy (no corrections) = -4.486 eV/atom; N(E_F) = 1.229 states/eV per atom; formation enthalpy at 0 K = 0.208 eV per atom; polymorph energy (0 for the lowest one) = 0.23 eV/f.u.; size of the total moment = 0.00 μB per cell
1.0
1.7197 0.9929 17.8015
-1.7197 0.9929 17.8015
0.0000 -1.9858 17.8015
Li Pm Th
2 2 2
Direct
0.1445 0.1445 0.1445 Li
0.8555 0.8555 0.8555 Li
0.2414 0.2414 0.2414 Pm
0.7586 0.7586 0.7586 Pm
0.3048 0.3048 0.3048 Th
0.6952 0.6952 0.6952 Th


Sc2CdW (PBE, relaxed); total DFT energy (no corrections) = -6.590 eV/atom; N(E_F) = 0.970 states/eV per atom; formation enthalpy at 0 K = 0.043 eV per atom; size of the total moment = 0.00 μB per cell
1.0
3.1072 0.0000 0.0000
0.0000 3.5714 0.0000
-0.0140 0.0000 7.3555
Sc Cd W
2 1 1
Direct
0.0001 0.0000 0.2229 Sc
0.9999 0.0000 0.7771 Sc
0.5000 0.5000 0.5000 Cd
0.5000 0.5000 0.0000 W


InSbBr2 (PBE, relaxed); total DFT energy (no corrections) = -2.727 eV/atom; N(E_F) = 0.922 states/eV per atom; uncorrected formation energy = -175 meV/atom; polymorph energy (0 for the lowest one) = 0.70 eV/f.u.; size of the total moment = 0.00 μB per cell
1.0
3.7189 0.0000 0.0000
0.0000 3.7189 0.0000
0.0000 0.0000 8.8790
In Sb Br
1 1 2
Direct
0.0000 0.0000 0.0000 In
0.5000 0.5000 0.2248 Sb
0.0000 0.0000 0.4199 Br
0.5000 0.5000 0.8138 Br


Ca2GaCSe (PBE, relaxed); total DFT energy (no corrections) = -4.498 eV/atom; N(E_F) = 0.175 states/eV per atom; uncorrected formation energy = -550 meV/atom; size of the total moment = 0.00 μB per cell
1.0
5.1647 0.0000 0.0000
0.0000 5.1647 0.0000
0.0000 0.0000 3.8733
Ca Ga C Se
2 1 1 1
Direct
0.0000 0.5000 0.0000 Ca
0.5000 0.0000 0.0000 Ca
0.0000 0.0000 0.5000 Ga
0.0000 0.0000 0.0000 C
0.5000 0.5000 0.5000 Se


LaTlPb (PBE, relaxed); total DFT energy (no corrections) = -4.083 eV/atom; N(E_F) = 0.659 states/eV per atom; formation enthalpy at 0 K = -0.416 eV per atom; polymorph energy (0 for the lowest one) = 0.00 eV/f.u.; size of the total moment = 0.00 μB per cell
1.0
2.4901 -5.6832 0.0000
2.4901 5.6832 0.0000
0.0000 0.0000 6.6628
La Tl Pb
2 2 2
Direct
0.1610 0.8390 0.7500 La
0.8390 0.1610 0.2500 La
0.5000 0.5000 0.0000 Tl
0.5000 0.5000 0.5000 Tl
0.1432 0.8568 0.2500 Pb
0.8568 0.1432 0.7500 Pb


CaMn2W (PBE, relaxed); total DFT energy (no corrections) = -7.692 eV/atom; N(E_F) = 0.855 states/eV per atom; formation enthalpy at 0 K = 0.632 eV per atom; polymorph energy (0 for the lowest one) = 0.97 eV/f.u.; size of the total moment = 0.18 μB per cell
1.0
5.1806 -1.3716 0.0000
5.1806 1.3716 0.0000
-1.6950 0.0000 4.6821
Ca Mn W
1 2 1
Direct
0.0000 0.0000 0.0000 Ca
0.2188 0.2188 0.7710 Mn
0.5277 0.5277 0.5088 Mn
0.7936 0.7936 0.3586 W


Pu2GeIr (PBE, relaxed); total DFT energy (no corrections) = -11.000 eV/atom; N(E_F) = 3.081 states/eV per atom; formation enthalpy at 0 K = -0.465 eV per atom; size of the total moment = 10.05 μB per cell
1.0
3.7716 0.0000 0.0000
0.0000 3.7716 0.0000
0.0000 0.0000 5.6963
Pu Ge Ir
2 1 1
Direct
0.0000 0.0000 0.2469 Pu
0.0000 0.0000 0.7531 Pu
0.5000 0.5000 0.5000 Ge
0.5000 0.5000 0.0000 Ir


CaAuIBr2 (PBE, relaxed); total DFT energy (no corrections) = -2.606 eV/atom; N(E_F) = 0.339 states/eV per atom; uncorrected formation energy = -571 meV/atom; size of the total moment = 0.00 μB per cell
1.0
5.4042 0.0000 0.0000
0.0000 5.4042 0.0000
0.0000 0.0000 5.7581
Ca Au I Br
1 1 1 2
Direct
0.0000 0.0000 0.0000 Ca
0.5000 0.5000 0.5000 Au
0.5000 0.5000 0.0000 I
0.0000 0.5000 0.5000 Br
0.5000 0.0000 0.5000 Br


Rb2ZnFeI6 (PBE, relaxed); total DFT energy (no corrections) = -2.786 eV/atom; N(E_F) = 0.212 states/eV per atom; uncorrected formation energy = -689 meV/atom; size of the total moment = 4.00 μB per cell
1.0
-4.1826 4.1826 5.8498
4.1826 -4.1826 5.8498
4.1826 4.1826 -5.8498
Rb Zn Fe I
2 1 1 6
Direct
0.2500 0.7500 0.5000 Rb
0.7500 0.2500 0.5000 Rb
0.0000 0.0000 0.0000 Zn
0.5000 0.5000 0.0000 Fe
0.2202 0.2202 0.0000 I
0.2697 0.2697 0.5394 I
0.2697 0.7303 0.0000 I
0.7303 0.2697 0.0000 I
0.7303 0.7303 0.4606 I
0.7798 0.7798 0.0000 I


NbFeAu (PBE, relaxed); total DFT energy (no corrections) = -7.124 eV/atom; N(E_F) = 0.648 states/eV per atom; formation enthalpy at 0 K = 0.146 eV per atom; polymorph energy (0 for the lowest one) = 0.52 eV/f.u.; size of the total moment = 1.30 μB per cell
1.0
4.4495 0.0000 0.0000
-2.2247 3.8534 0.0000
0.0000 0.0000 2.7791
Nb Fe Au
1 1 1
Direct
0.0000 0.0000 0.0000 Nb
0.3333 0.6667 0.0000 Fe
0.6667 0.3333 0.5000 Au


NdErPt (PBE, relaxed); total DFT energy (no corrections) = -5.934 eV/atom; N(E_F) = 1.134 states/eV per atom; formation enthalpy at 0 K = -0.810 eV per atom; polymorph energy (0 for the lowest one) = 0.15 eV/f.u.; size of the total moment = 0.00 μB per cell
1.0
4.0054 -2.3192 0.0000
4.0054 2.3192 0.0000
-2.6936 0.0000 9.2427
Nd Er Pt
2 2 2
Direct
0.1221 0.1221 0.3655 Nd
0.8779 0.8779 0.6345 Nd
0.3708 0.3708 0.1128 Er
0.6292 0.6292 0.8872 Er
0.2599 0.2599 0.7804 Pt
0.7401 0.7401 0.2196 Pt


K2CaCl (PBE, relaxed); total DFT energy (no corrections) = -1.946 eV/atom; N(E_F) = 0.571 states/eV per atom; uncorrected formation energy = -436 meV/atom; polymorph energy (0 for the lowest one) = 1.67 eV/f.u.; size of the total moment = 0.73 μB per cell
1.0
-2.6075 2.6075 6.8831
2.6075 -2.6075 6.8831
2.6075 2.6075 -6.8831
K Ca Cl
2 1 1
Direct
0.0000 0.0000 0.0000 K
0.7500 0.2500 0.5000 K
0.2500 0.7500 0.5000 Ca
0.5000 0.5000 0.0000 Cl


Er4SnHgN (PBE, relaxed); total DFT energy (no corrections) = -5.277 eV/atom; N(E_F) = 0.584 states/eV per atom; uncorrected formation energy = -865 meV/atom; size of the total moment = 0.00 μB per cell
1.0
3.3004 -7.7668 0.0000
3.3004 7.7668 0.0000
0.0000 0.0000 6.5918
Er Sn Hg N
8 2 2 2
Direct
0.0000 0.5000 0.0000 Er
0.0000 0.5000 0.5000 Er
0.0814 0.9186 0.7500 Er
0.4108 0.5892 0.7500 Er
0.5000 0.0000 0.0000 Er
0.5000 0.0000 0.5000 Er
0.5892 0.4108 0.2500 Er
0.9186 0.0814 0.2500 Er
0.3901 0.6099 0.2500 Sn
0.6099 0.3901 0.7500 Sn
0.1142 0.8858 0.2500 Hg
0.8858 0.1142 0.7500 Hg
0.2517 0.7483 0.7500 N
0.7483 0.2517 0.2500 N


Ba3Al2Sb4 (PBE, relaxed); total DFT energy (no corrections) = -4.008 eV/atom; N(E_F) = 0.162 states/eV per atom; uncorrected formation energy = -703 meV/atom; polymorph energy (0 for the lowest one) = 0.00 eV/f.u.; size of the total moment = 0.00 μB per cell
1.0
7.8717 -2.3151 0.0000
7.8717 2.3151 0.0000
-5.7339 0.0000 8.8128
Ba Al Sb
3 2 4
Direct
0.0000 0.0000 0.0000 Ba
0.3759 0.3759 0.2756 Ba
0.6241 0.6241 0.7244 Ba
0.3125 0.3125 0.6508 Al
0.6875 0.6875 0.3492 Al
0.1087 0.1087 0.4106 Sb
0.3134 0.3134 0.9042 Sb
0.6866 0.6866 0.0958 Sb
0.8913 0.8913 0.5894 Sb


LiScF5 (PBE, relaxed); total DFT energy (no corrections) = -5.460 eV/atom; uncorrected formation energy = -2945 meV/atom; size of the total moment = 1.08 μB per cell
1.0
3.9987 -3.4444 0.0000
3.9987 3.4444 0.0000
-0.9167 0.0000 3.3683
Li Sc F
1 1 5
Direct
0.0000 0.0000 0.0000 Li
0.5000 0.5000 0.5000 Sc
0.0000 0.0000 0.5000 F
0.2427 0.2427 0.3179 F
0.3221 0.6779 0.0000 F
0.6779 0.3221 0.0000 F
0.7573 0.7573 0.6821 F


KGaSbSe4 (PBE, relaxed); total DFT energy (no corrections) = -3.681 eV/atom; N(E_F) = 0.594 states/eV per atom; uncorrected formation energy = -511 meV/atom; size of the total moment = 0.00 μB per cell
1.0
6.7938 0.0000 0.0000
0.0000 6.8557 0.0000
-3.3765 0.0000 8.8708
K Ga Sb Se
2 2 2 8
Direct
0.2302 0.2500 0.4398 K
0.7698 0.7500 0.5602 K
0.1100 0.2500 0.8265 Ga
0.8900 0.7500 0.1735 Ga
0.3420 0.7500 0.0745 Sb
0.6580 0.2500 0.9255 Sb
0.1003 0.2500 0.0759 Se
0.2544 0.7500 0.3353 Se
0.3247 0.5149 0.7841 Se
0.3247 0.9851 0.7841 Se
0.6753 0.0149 0.2159 Se
0.6753 0.4851 0.2159 Se
0.7456 0.2500 0.6647 Se
0.8997 0.7500 0.9241 Se


LiBeInBr4 (PBE, relaxed); total DFT energy (no corrections) = -3.196 eV/atom; N(E_F) = 0.000 states/eV per atom; uncorrected formation energy = -1043 meV/atom; size of the total moment = 0.00 μB per cell
1.0
6.2756 0.0000 0.0000
0.0000 8.2285 0.0000
-2.3415 0.0000 8.4533
Li Be In Br
2 2 2 8
Direct
0.2025 0.2500 0.3354 Li
0.7975 0.7500 0.6646 Li
0.3003 0.7500 0.7021 Be
0.6997 0.2500 0.2979 Be
0.3113 0.2500 0.9140 In
0.6887 0.7500 0.0860 In
0.0430 0.7500 0.4817 Br
0.1472 0.7500 0.9036 Br
0.4738 0.0380 0.2693 Br
0.4738 0.4620 0.2693 Br
0.5262 0.5380 0.7307 Br
0.5262 0.9620 0.7307 Br
0.8528 0.2500 0.0964 Br
0.9570 0.2500 0.5183 Br